# 1
{
  "formula": "Ba2CdSi2",
  "functional": "PBE",
  "state": "relaxed",
  "cell": [[6.358, 0.000, 0.000], [0.000, 6.358, 0.000], [3.179, 3.179, 4.431]],
  "species": ["Cd", "Ba", "Ba", "Si", "Si"],
  "frac_coords": [[0.000, 0.000, 0.000], [0.750, 0.250, 0.500], [0.250, 0.750, 0.500], [0.373, 0.373, 0.254], [0.627, 0.627, 0.746]],
  "density_g_cm3": 4.109,
  "space_group": "I4/mmm",
  "de_polymorph_mev_per_atom": 211.9,
  "dft_energy_ev_per_atom": -3.16,
  "raw_formation_energy_mev_per_atom": -34,
  "dos_ef_per_ev_fu": 5.265
}

---

# 2
{
  "formula": "BaCdSi",
  "functional": "PBE",
  "state": "relaxed",
  "cell": [[4.744, 0.000, 0.000], [0.000, 4.744, 0.000], [-2.372, -2.372, 8.040]],
  "species": ["Si", "Ba", "Ba", "Cd", "Si", "Cd"],
  "frac_coords": [[0.074, 0.074, 0.148], [0.500, 0.500, 0.000], [0.250, 0.750, 0.500], [0.660, 0.160, 0.320], [0.926, 0.926, 0.852], [0.840, 0.340, 0.680]],
  "density_g_cm3": 5.099,
  "space_group": "I-4m2",
  "dft_energy_ev_per_atom": -3.06,
  "raw_formation_energy_mev_per_atom": -307,
  "dos_ef_per_ev_fu": 2.123
}

---

# 3
{
  "formula": "Ba2CdSi2",
  "functional": "PBE",
  "state": "relaxed",
  "cell": [[8.486, 0.000, 0.000], [0.000, 8.486, 0.000], [0.000, 0.000, 4.566]],
  "species": ["Ba", "Ba", "Cd", "Si", "Si", "Ba", "Si", "Si", "Cd", "Ba"],
  "frac_coords": [[0.193, 0.693, 0.500], [0.807, 0.307, 0.500], [0.000, 0.000, 0.000], [0.595, 0.095, 0.000], [0.405, 0.905, 0.000], [0.693, 0.807, 0.500], [0.095, 0.405, 0.000], [0.905, 0.595, 0.000], [0.500, 0.500, 0.000], [0.307, 0.193, 0.500]],
  "density_g_cm3": 4.477,
  "space_group": "P4/mbm",
  "de_polymorph_mev_per_atom": 0.0,
  "dft_energy_ev_per_atom": -3.37,
  "raw_formation_energy_mev_per_atom": -246,
  "dos_ef_per_ev_fu": 4.103
}

---

# 4
{
  "formula": "BaCd2Si",
  "functional": "PBE",
  "state": "relaxed",
  "cell": [[-3.315, 0.674, -4.759], [-0.712, -5.264, -2.424], [-0.817, 1.802, 5.494]],
  "species": ["Cd", "Cd", "Ba", "Si"],
  "frac_coords": [[0.500, 0.500, 0.000], [0.000, 0.000, 0.000], [0.750, 0.250, 0.500], [0.250, 0.750, 0.500]],
  "density_g_cm3": 5.789,
  "space_group": "I4/mmm",
  "dft_energy_ev_per_atom": -2.27,
  "raw_formation_energy_mev_per_atom": 27,
  "dos_ef_per_ev_fu": 1.865
}

---

# 5
{
  "formula": "BaCdSi",
  "functional": "PBE",
  "state": "relaxed",
  "cell": [[-2.778, -2.800, -2.394], [3.837, 1.661, -1.949], [2.535, -3.924, 1.647]],
  "species": ["Cd", "Ba", "Si"],
  "frac_coords": [[0.667, 0.333, 0.500], [0.000, 0.000, 0.000], [0.333, 0.667, 0.500]],
  "density_g_cm3": 5.052,
  "space_group": "P-6m2",
  "dft_energy_ev_per_atom": -3.07,
  "raw_formation_energy_mev_per_atom": -320,
  "dos_ef_per_ev_fu": 1.018
}

---

# 6
{
  "formula": "Ba4CdSi",
  "functional": "PBE",
  "state": "relaxed",
  "cell": [[5.862, 2.120, 3.474], [-0.583, 3.295, 6.303], [2.013, -3.344, 5.974]],
  "species": ["Cd", "Si", "Ba", "Ba", "Ba", "Ba"],
  "frac_coords": [[0.750, 0.750, 0.750], [0.000, 0.000, 0.000], [0.374, 0.374, 0.879], [0.374, 0.374, 0.374], [0.879, 0.374, 0.374], [0.374, 0.879, 0.374]],
  "density_g_cm3": 4.457,
  "space_group": "F-43m",
  "dft_energy_ev_per_atom": -1.82,
  "raw_formation_energy_mev_per_atom": 519,
  "dos_ef_per_ev_fu": 6.498
}

---

# 7
{
  "formula": "BaCd2Si",
  "functional": "PBE",
  "state": "relaxed",
  "cell": [[-5.135, -0.551, -1.707], [1.336, -4.628, -2.526], [-3.900, -7.282, 5.421]],
  "species": ["Cd", "Ba", "Ba", "Cd", "Cd", "Cd", "Si", "Si"],
  "frac_coords": [[0.382, 0.125, 0.250], [0.000, 0.000, 0.000], [0.750, 0.250, 0.500], [0.875, 0.632, 0.750], [0.368, 0.625, 0.250], [0.375, 0.618, 0.750], [0.250, 0.750, 0.500], [0.500, 0.500, 0.000]],
  "density_g_cm3": 4.813,
  "space_group": "I-42d",
  "dft_energy_ev_per_atom": -2.31,
  "raw_formation_energy_mev_per_atom": -19,
  "dos_ef_per_ev_fu": 1.216
}

---

# 8
{
  "formula": "BaCd2Si",
  "functional": "PBE",
  "state": "relaxed",
  "cell": [[-3.663, 0.459, 0.361], [-0.299, -3.441, 1.342], [1.078, 2.787, 7.390]],
  "species": ["Cd", "Cd", "Si", "Ba"],
  "frac_coords": [[0.000, 0.000, 0.440], [0.000, 0.000, 0.060], [0.500, 0.500, 0.250], [0.500, 0.500, 0.750]],
  "density_g_cm3": 5.914,
  "space_group": "P4/mmm",
  "dft_energy_ev_per_atom": -2.22,
  "raw_formation_energy_mev_per_atom": 75,
  "dos_ef_per_ev_fu": 1.875
}

---

# 9
{
  "formula": "BaCdSi3",
  "functional": "PBE",
  "state": "relaxed",
  "cell": [[5.184, 0.000, 0.000], [0.000, 5.184, 0.000], [0.000, 0.000, 5.184]],
  "species": ["Si", "Si", "Si", "Cd", "Ba"],
  "frac_coords": [[0.500, 0.000, 0.000], [0.000, 0.500, 0.000], [0.000, 0.000, 0.500], [0.000, 0.000, 0.000], [0.500, 0.500, 0.500]],
  "density_g_cm3": 3.982,
  "space_group": "Pm-3m",
  "de_polymorph_mev_per_atom": 0.0,
  "dft_energy_ev_per_atom": -3.23,
  "raw_formation_energy_mev_per_atom": 593,
  "dos_ef_per_ev_fu": 3.637
}

---

# 10
{
  "formula": "BaCd2Si",
  "functional": "PBE",
  "state": "relaxed",
  "cell": [[5.528, -0.007, -0.002], [0.147, 5.526, 0.002], [-2.279, -3.334, 3.775]],
  "species": ["Cd", "Cd", "Si", "Ba"],
  "frac_coords": [[0.715, 0.215, 0.500], [0.965, 0.965, 0.000], [0.556, 0.556, 0.000], [0.264, 0.764, 0.500]],
  "density_g_cm3": 5.618,
  "space_group": "Imm2",
  "dft_energy_ev_per_atom": -2.34,
  "raw_formation_energy_mev_per_atom": -46,
  "dos_ef_per_ev_fu": 1.662
}

---

# 11
{
  "formula": "Ba3CdSi",
  "functional": "PBE",
  "state": "relaxed",
  "cell": [[-1.220, -4.695, 4.189], [5.259, 1.582, 3.306], [-3.456, 4.066, 3.551]],
  "species": ["Si", "Ba", "Ba", "Ba", "Cd"],
  "frac_coords": [[0.000, 0.000, 0.000], [0.000, 0.500, 0.000], [0.500, 0.000, 0.000], [0.000, 0.000, 0.500], [0.500, 0.500, 0.500]],
  "density_g_cm3": 3.484,
  "space_group": "Pm-3m",
  "de_polymorph_mev_per_atom": 0.0,
  "dft_energy_ev_per_atom": -2.45,
  "raw_formation_energy_mev_per_atom": -30,
  "dos_ef_per_ev_fu": 8.323
}

---

# 12
{
  "formula": "BaCdSi",
  "functional": "PBE",
  "state": "relaxed",
  "cell": [[-5.158, 2.325, -1.638], [3.290, -2.576, -4.152], [-0.384, -5.835, 3.579]],
  "species": ["Cd", "Ba", "Si", "Ba", "Si", "Cd"],
  "frac_coords": [[0.000, 0.000, 0.500], [0.748, 0.370, 0.118], [0.161, 0.029, 0.190], [0.252, 0.630, 0.882], [0.839, 0.971, 0.810], [0.500, 0.500, 0.500]],
  "density_g_cm3": 5.072,
  "space_group": "C2/m",
  "dft_energy_ev_per_atom": -2.88,
  "raw_formation_energy_mev_per_atom": -130,
  "dos_ef_per_ev_fu": 1.344
}